Compound: Dy12Ni5Sn
Source: the Alexandria database
Functional: PBE
Structure: relaxed Values from VASP.

Geometry as Quantum ESPRESSO input:
```
&SYSTEM
  ibrav = 0, nat = 18, ntyp = 3
/
ATOMIC_SPECIES
Dy 162.50 Dy.upf
Ni 58.69 Ni.upf
Sn 118.71 Sn.upf
ATOMIC_POSITIONS angstrom
Dy 4.100 2.236 -2.739
Dy 2.955 1.254 0.577
Dy -2.481 6.721 3.599
Dy 3.840 4.112 2.672
Dy 1.047 2.203 3.515
Dy -2.410 5.623 0.117
Dy 2.656 4.674 -0.644
Dy 6.184 0.156 -0.729
Dy -0.137 2.765 0.199
Dy -0.397 4.641 5.610
Dy 0.748 5.623 2.294
Dy 6.113 1.254 2.754
Ni 3.348 0.850 3.386
Ni 2.384 4.385 -3.459
Ni 0.000 0.000 0.000
Ni 0.355 6.027 -0.515
Ni 1.373 2.525 -1.992
Sn -2.027 3.422 2.941
CELL_PARAMETERS angstrom
7.757 0.033 -3.012
-4.001 6.877 -2.439
-0.053 -0.033 8.321
```

Computed properties:
DOS(E_F) in states/eV/atom: 0.960
Total DFT energy (no corrections) in eV per atom: -5.28